VASP calculation (GGA-PBE) on a relaxed NpCdIn2O8 crystal.

Results
Raw total energy: -6.561 eV/atom
Fermi-level density of states: 6.71 states/eV/f.u.

Cell and atoms, written as CIF:
```
data_NpCdIn2O8
_cell_length_a 7.2263
_cell_length_b 7.0040
_cell_length_c 6.7611
_cell_angle_alpha 90.00
_cell_angle_beta 92.16
_cell_angle_gamma 90.00
_space_group_name_H-M_alt 'C 1 2/m 1'
_space_group_IT_number 12
_space_group_name_Hall '-C 2y'
loop_
_atom_site_label
_atom_site_type_symbol
_atom_site_fract_x
_atom_site_fract_y
_atom_site_fract_z
Np1 Np 0.0000 0.0000 0.0000
Cd1 Cd 0.0000 0.0000 0.5000
In1 In 0.0096 0.5000 0.2519
O1 O 0.0000 0.2999 0.0000
O2 O 0.0000 0.3102 0.5000
O3 O 0.1856 0.0000 0.7759
O4 O 0.1951 0.0000 0.2045
```